# PBE with a Hubbard U Be2CrF, relaxed
data_Be2CrF
_cell_length_a 6.161
_cell_length_b 6.161
_cell_length_c 4.914
_cell_angle_alpha 90.00
_cell_angle_beta 90.00
_cell_angle_gamma 90.00
_space_group_name_H-M_alt 'I -4 2 d'
_space_group_IT_number 122
_space_group_name_Hall 'I -4 2bw'
loop_
_atom_site_label
_atom_site_type_symbol
_atom_site_fract_x
_atom_site_fract_y
_atom_site_fract_z
Be1 Be 0.181 0.750 0.125
Cr1 Cr 0.000 0.000 0.500
F1 F 0.000 0.000 0.000
# DOS at the Fermi energy in states/eV per atom: 0.181
# Excess energy over the best structure of this formula in the dataset in meV/atom: 0